Entry 1:
A plane-wave DFT calculation with PBE was carried out for a geometry-optimized SnAsPd2 structure.

## Properties
For the magnetic moment, the calculation gives 0.00 μB/cell. The relative energy among the computed polymorphs is 156 meV/atom.

a = 3.2067 Å, b = 3.2067 Å, c = 8.3470 Å
α = 78.93°, β = 78.93°, γ = 60.00°
Atoms (fractional coordinates):
As: 0.0000 0.0000 0.0000
Sn: 0.5000 0.5000 0.5000
Pd: 0.2549 0.2549 0.2352
Pd: 0.7451 0.7451 0.7648

=====

Entry 2:
A plane-wave DFT calculation with PBE was carried out for a geometry-optimized Sn2AsPd6 structure.

## Properties
For the magnetic moment, the calculation gives 0.00 μB/cell.

a = 3.3364 Å, b = 7.2500 Å, c = 7.2503 Å
α = 120.00°, β = 90.00°, γ = 90.00°
Atoms (fractional coordinates):
Sn: 0.0000 0.3333 0.6666
Sn: 0.0000 0.6667 0.3334
As: 0.5000 0.0000 0.0000
Pd: 0.5000 0.6206 0.0000
Pd: 0.5000 0.3794 0.3794
Pd: 0.5000 0.0000 0.6206
Pd: 0.0000 0.2676 0.0000
Pd: 0.0000 0.7324 0.7324
Pd: 0.0000 0.0000 0.2676

=====

Entry 3:
A plane-wave DFT calculation with PBE was carried out for a geometry-optimized SnAs6Pd12 structure.

## Properties
For the magnetic moment, the calculation gives 0.00 μB/cell.

a = 7.4614 Å, b = 7.4614 Å, c = 7.4614 Å
α = 108.20°, β = 108.20°, γ = 108.20°
Atoms (fractional coordinates):
Sn: 0.0000 0.0000 0.0000
As: 0.6956 0.2688 0.2688
As: 0.2688 0.2688 0.6956
As: 0.2688 0.6956 0.2688
As: 0.7312 0.7312 0.3044
As: 0.3044 0.7312 0.7312
As: 0.7312 0.3044 0.7312
Pd: 0.8784 0.1216 0.5000
Pd: 0.8511 0.6153 0.6153
Pd: 0.6153 0.6153 0.8511
Pd: 0.3847 0.1489 0.3847
Pd: 0.3847 0.3847 0.1489
Pd: 0.1489 0.3847 0.3847
Pd: 0.1216 0.5000 0.8784
Pd: 0.5000 0.8784 0.1216
Pd: 0.1216 0.8784 0.5000
Pd: 0.8784 0.5000 0.1216
Pd: 0.5000 0.1216 0.8784
Pd: 0.6153 0.8511 0.6153

=====

Entry 4:
A plane-wave DFT calculation with PBE was carried out for a geometry-optimized SnAs2Pd structure.

## Properties
For the magnetic moment, the calculation gives 0.00 μB/cell.

a = 3.6988 Å, b = 4.1397 Å, c = 6.2917 Å
α = 112.05°, β = 107.09°, γ = 90.00°
Atoms (fractional coordinates):
Sn: 0.5000 0.5000 0.0000
As: 0.2275 0.2781 0.4549
As: 0.7725 0.7219 0.5451
Pd: 0.0000 0.0000 0.0000

=====

Calculated formation energy from the elements in order - -0.27, -0.50, -0.26, -0.24 eV per atom